(1)
Entry from Alexandria via LeMat-Bulk: an optimized crystal structure of BaCa3Ir (GGA-PBEsol).

abc: 5.6015 5.6015 5.6015
angles: 90.00 90.00 90.00
Closest atoms and distances in Å follow each position.
Fractional coordinates of all 5 atoms:
Ca1 0.0000 0.5000 0.0000  2 Ir 2.80
Ca2 0.0000 0.0000 0.5000  2 Ir 2.80
Ca3 0.5000 0.0000 0.0000  2 Ir 2.80
Ir1 0.0000 0.0000 0.0000  6 Ca 2.80
Ba1 0.5000 0.5000 0.5000  12 Ca 3.96

Results
calculated density: 4249 kg/m³
space-group type: No. 221
formation energy: -139 meV/atom

---

(2)
Entry from Alexandria via LeMat-Bulk: an optimized crystal structure of BaCaIr3 (GGA-PBEsol).

abc: 5.0678 5.0678 5.0678
angles: 90.00 90.00 90.00
Closest atoms and distances in Å follow each position.
Fractional coordinates of all 5 atoms:
Ca1 0.5000 0.5000 0.5000  12 Ir 3.58
Ir1 0.0000 0.5000 0.0000  2 Ba 2.53
Ir2 0.0000 0.0000 0.5000  2 Ba 2.53
Ir3 0.5000 0.0000 0.0000  2 Ba 2.53
Ba1 0.0000 0.0000 0.0000  6 Ir 2.53

Results
calculated density: 9621 kg/m³
space-group type: No. 221
formation energy: 2053 meV/atom

---

(3)
Entry from Alexandria via LeMat-Bulk: an optimized crystal structure of Ba2CaIrO6 (GGA-PBEsol).

abc: 5.8995 5.8995 5.8995
angles: 60.00 60.00 60.00
Closest atoms and distances in Å follow each position.
Fractional coordinates of all 10 atoms:
Ba1 0.2500 0.2500 0.2500  12 O 2.95
Ba2 0.7500 0.7500 0.7500  12 O 2.95
Ca1 0.0000 0.0000 0.0000  6 O 2.24
Ir1 0.5000 0.5000 0.5000  6 O 1.93
O1 0.2685 0.7315 0.2685  1 Ir 1.93
O2 0.7315 0.7315 0.2685  1 Ir 1.93
O3 0.2685 0.2685 0.7315  1 Ir 1.93
O4 0.7315 0.2685 0.2685  1 Ir 1.93
O5 0.7315 0.2685 0.7315  1 Ir 1.93
O6 0.2685 0.7315 0.7315  1 Ir 1.93

Results
calculated density: 6896 kg/m³
formation energy (no corrections): -2.1519 eV/atom
space-group type: No. 225

---

(4)
Entry from Alexandria via LeMat-Bulk: an optimized crystal structure of Ba6Ca2Ir3RuO18 (GGA-PBEsol).

abc: 5.8752 5.8752 14.4936
angles: 90.00 90.00 120.00
Closest atoms and distances in Å follow each position.
Fractional coordinates of all 30 atoms:
Ba1 0.0000 0.0000 0.4100  12 O 2.93-3.05
Ba2 0.3333 0.6667 0.5886  12 O 2.94-2.99
Ba3 0.3333 0.6667 0.9113  12 O 2.94-3.01
Ba4 0.0000 0.0000 0.0870  12 O 2.94-3.00
Ba5 0.6667 0.3333 0.2495  12 O 2.94-2.99
Ba6 0.6667 0.3333 0.7511  12 O 2.94-2.96
Ca1 0.6667 0.3333 0.5000  6 O 2.21-2.24
Ca2 0.6667 0.3333 0.9997  6 O 2.22
Ir1 0.3333 0.6667 0.3372  6 O 1.92-2.03
Ir2 0.3333 0.6667 0.1636  6 O 1.92-2.04
Ir3 0.0000 0.0000 0.8351  6 O 1.92-2.02
Ru1 0.0000 0.0000 0.6620  6 O 1.88-2.03
O1 0.8459 0.1541 0.5902  1 Ru 1.88
O2 0.8459 0.6918 0.5902  1 Ru 1.88
O3 0.3082 0.1541 0.5902  1 Ru 1.88
O4 0.4881 0.5119 0.4135  1 Ir 1.92
O5 0.4881 0.9763 0.4135  1 Ir 1.92
O6 0.0237 0.5119 0.4135  1 Ir 1.92
O7 0.4884 0.5116 0.0878  1 Ir 1.92
O8 0.4884 0.9767 0.0878  1 Ir 1.92
O9 0.0233 0.5116 0.0878  1 Ir 1.92
O10 0.8447 0.1553 0.9107  1 Ir 1.92
O11 0.8447 0.6895 0.9107  1 Ir 1.92
O12 0.3105 0.1553 0.9107  1 Ir 1.92
O13 0.1761 0.8239 0.2504  2 Ir 2.03-2.04
O14 0.1761 0.3522 0.2504  2 Ir 2.03-2.04
O15 0.6478 0.8239 0.2504  2 Ir 2.03-2.04
O16 0.1564 0.8436 0.7490  1 Ir 2.02, 1 Ru 2.03
O17 0.1564 0.3128 0.7490  1 Ir 2.02, 1 Ru 2.03
O18 0.6872 0.8436 0.7490  1 Ir 2.02, 1 Ru 2.03

Results
calculated density: 7166 kg/m³
formation energy (no corrections): -2.0283 eV/atom
space-group type: No. 156

---

(5)
Entry from Alexandria via LeMat-Bulk: an optimized crystal structure of BaCaTcIr2 (GGA-PBEsol).

abc: 4.7670 4.9991 4.9991
angles: 90.00 90.00 90.00
Closest atoms and distances in Å follow each position.
Fractional coordinates of all 5 atoms:
Ca1 0.0000 0.0000 0.0000  2 Tc 2.38, 4 Ir 2.50
Ir1 0.0000 0.0000 0.5000  2 Ca 2.50
Ir2 0.0000 0.5000 0.0000  2 Ca 2.50
Ba1 0.5000 0.5000 0.5000  8 Ir 3.45, 4 Tc 3.53
Tc1 0.5000 0.0000 0.0000  2 Ca 2.38

Results
calculated density: 9197 kg/m³
space-group type: No. 123
formation energy: 1762 meV/atom

---

(6)
Entry from Alexandria via LeMat-Bulk: an optimized crystal structure of KBa2Ca (GGA-PBEsol).

abc: 4.1074 4.1074 13.8362
angles: 90.00 90.00 109.28
Closest atoms and distances in Å follow each position.
Fractional coordinates of all 4 atoms:
K1 0.5000 0.5000 0.2613  4 K 4.11, 2 Ca 4.19, 2 Ba 4.44
Ca1 0.0000 0.0000 0.5103  2 Ba 3.95, 4 Ca 4.11, 2 K 4.19
Ba1 0.0000 0.0000 0.9899  6 Ba 4.11-4.21, 2 K 4.44
Ba2 0.5000 0.5000 0.7385  2 Ca 3.95, 6 Ba 4.11-4.21

Results
calculated density: 2667 kg/m³
space-group type: No. 35
energy relative to the lowest polymorph listed for this composition: 15 meV/atom
formation energy: 85 meV/atom

---

(7)
Entry from Alexandria via LeMat-Bulk: an optimized crystal structure of KBa2Ca (GGA-PBEsol).

abc: 4.2277 4.2277 14.4940
angles: 81.61 81.61 60.00
Closest atoms and distances in Å follow each position.
Fractional coordinates of all 4 atoms:
K1 0.0000 0.0000 0.0000  6 K 4.23, 6 Ba 4.57
Ca1 0.5000 0.5000 0.5000  6 Ba 4.09, 6 Ca 4.23
Ba1 0.2433 0.2433 0.2700  3 Ca 4.09, 6 Ba 4.23, 3 K 4.57
Ba2 0.7567 0.7567 0.7300  3 Ca 4.09, 6 Ba 4.23, 3 K 4.57

Results
calculated density: 2657 kg/m³
space-group type: No. 166
energy relative to the lowest polymorph listed for this composition: 0 meV/atom
formation energy: 70 meV/atom

---

(8)
Entry from Alexandria via LeMat-Bulk: an optimized crystal structure of KBa2Ca (GGA-PBEsol).

abc: 6.8353 6.8353 6.8353
angles: 60.00 60.00 60.00
Closest atoms and distances in Å follow each position.
Fractional coordinates of all 4 atoms:
K1 0.0000 0.0000 0.0000  8 Ba 4.19
Ca1 0.5000 0.5000 0.5000  8 Ba 4.19
Ba1 0.2500 0.2500 0.2500  4 Ca 4.19, 4 K 4.19
Ba2 0.7500 0.7500 0.7500  4 K 4.19, 4 Ca 4.19

Results
calculated density: 2602 kg/m³
space-group type: No. 225
energy relative to the lowest polymorph listed for this composition: 60 meV/atom
formation energy: 131 meV/atom

---

(9)
Entry from Alexandria via LeMat-Bulk: an optimized crystal structure of KBa2Ca (GGA-PBEsol).

abc: 4.2208 4.2208 14.5229
angles: 81.64 81.64 60.00
Closest atoms and distances in Å follow each position.
Fractional coordinates of all 4 atoms:
K1 0.2466 0.2466 0.2603  6 K 4.22, 3 Ca 4.31, 3 Ba 4.55
Ca1 0.4970 0.4970 0.5089  3 Ba 4.10, 6 Ca 4.22, 3 K 4.31
Ba1 0.0028 0.0028 0.9916  9 Ba 4.22-4.36, 3 K 4.55
Ba2 0.7536 0.7536 0.7393  3 Ca 4.10, 9 Ba 4.22-4.36

Results
calculated density: 2660 kg/m³
space-group type: No. 160
energy relative to the lowest polymorph listed for this composition: 21 meV/atom
formation energy: 92 meV/atom

---

(10)
Entry from Alexandria via LeMat-Bulk: an optimized crystal structure of KBa2Ca (GGA-PBEsol).

abc: 4.1062 4.1062 13.9018
angles: 90.00 90.00 109.78
Closest atoms and distances in Å follow each position.
Fractional coordinates of all 4 atoms:
K1 0.5000 0.5000 0.0000  4 K 4.11, 4 Ba 4.44
Ca1 0.5000 0.5000 0.5000  4 Ba 3.97, 4 Ca 4.11
Ba1 0.0000 0.0000 0.2706  2 Ca 3.97, 4 Ba 4.11, 2 K 4.44
Ba2 0.0000 0.0000 0.7294  2 Ca 3.97, 4 Ba 4.11, 2 K 4.44

Results
calculated density: 2664 kg/m³
space-group type: No. 65
energy relative to the lowest polymorph listed for this composition: 7 meV/atom
formation energy: 77 meV/atom

---

(11)
Entry from Alexandria via LeMat-Bulk: an optimized crystal structure of KBa2Ca (GGA-PBEsol).

abc: 4.5613 6.9982 6.9982
angles: 90.00 90.00 90.00
Closest atoms and distances in Å follow each position.
Fractional coordinates of all 4 atoms:
Ba1 0.0000 0.0000 0.5000  4 K 4.18, 4 Ca 4.18, 2 Ba 4.56
Ba2 0.0000 0.5000 0.0000  4 K 4.18, 4 Ca 4.18, 2 Ba 4.56
Ca1 0.5000 0.5000 0.5000  8 Ba 4.18, 2 Ca 4.56
K1 0.5000 0.0000 0.0000  8 Ba 4.18, 2 K 4.56

Results
calculated density: 2630 kg/m³
space-group type: No. 123
energy relative to the lowest polymorph listed for this composition: 51 meV/atom
formation energy: 121 meV/atom

---

(12)
Entry from Alexandria via LeMat-Bulk: an optimized crystal structure of KBa2Ca (GGA-PBEsol).

abc: 4.1178 6.8729 7.8822
angles: 90.00 98.47 90.00
Closest atoms and distances in Å follow each position.
Fractional coordinates of all 4 atoms:
Ba1 0.0007 0.0000 0.0003  2 Ca 3.98-4.36, 4 Ba 4.12-4.21, 2 K 4.21
Ba2 0.7597 0.5000 0.2648  4 Ba 4.12-4.21, 3 K 4.13-4.55, 2 Ca 4.13
Ca1 0.4498 0.0000 0.4833  4 Ba 3.98-4.36, 2 Ca 4.12, 2 K 4.14
K1 0.2898 0.5000 0.7516  2 K 4.12, 5 Ba 4.13-4.55, 2 Ca 4.14

Results
calculated density: 2663 kg/m³
space-group type: No. 6
energy relative to the lowest polymorph listed for this composition: 41 meV/atom
formation energy: 111 meV/atom

---

(13)
Entry from Alexandria via LeMat-Bulk: an optimized crystal structure of KBaCa4 (GGA-PBEsol).

abc: 7.4861 7.4861 7.4861
angles: 60.00 60.00 60.00
Closest atoms and distances in Å follow each position.
Fractional coordinates of all 6 atoms:
K1 0.7500 0.7500 0.7500  12 Ca 4.39, 4 Ba 4.58
Ca1 0.3745 0.3745 0.3745  6 Ca 3.73-3.76
Ca2 0.3745 0.3745 0.8765  6 Ca 3.73-3.76
Ca3 0.8765 0.3745 0.3745  6 Ca 3.73-3.76
Ca4 0.3745 0.8765 0.3745  6 Ca 3.73-3.76
Ba1 0.0000 0.0000 0.0000  12 Ca 4.39, 4 K 4.58

Results
calculated density: 1885 kg/m³
space-group type: No. 216
formation energy: 102 meV/atom

---

(14)
Entry from Alexandria via LeMat-Bulk: an optimized crystal structure of KBa2Ca (GGA-PBEsol).

abc: 4.2389 4.2389 12.6423
angles: 90.00 90.00 90.00
Closest atoms and distances in Å follow each position.
Fractional coordinates of all 4 atoms:
K1 0.5000 0.5000 0.5000  4 K 4.24, 8 Ba 4.60
Ca1 0.5000 0.5000 0.0000  8 Ba 4.13, 4 Ca 4.24
Ba1 0.0000 0.0000 0.7755  4 Ca 4.13, 4 Ba 4.24, 4 K 4.60
Ba2 0.0000 0.0000 0.2245  4 Ca 4.13, 4 Ba 4.24, 4 K 4.60

Results
calculated density: 2587 kg/m³
space-group type: No. 123
energy relative to the lowest polymorph listed for this composition: 10 meV/atom
formation energy: 80 meV/atom